one:
An optimized crystal structure of ThCd2Pb. Source: Alexandria, functional PBE-GGA.

The space group is R-3m (No. 166, hexagonal axes) and the conventional cell measures 3.3799, 3.3799 and 36.0273 Å, with angles of 90.00, 90.00 and 120.00 degrees. The distinct sites, in fractional coordinates, are Th at (0.0000, 0.0000, 0.0000), Cd at (0.0000, 0.0000, 0.0900) and Pb at (0.0000, 0.0000, 0.5000).

The size of the total moment is 0.00 μB per atom.

two:
An optimized crystal structure of ThCd2Pb. Source: Alexandria, functional PBE-GGA.

The space group is Fm-3m (No. 225) and the conventional cell measures 7.5788, 7.5788 and 7.5788 Å, with angles of 90.00, 90.00 and 90.00 degrees. The distinct sites, in fractional coordinates, are Th at (0.0000, 0.0000, 0.0000), Cd at (0.2500, 0.2500, 0.2500) and Pb at (0.0000, 0.0000, 0.5000).

The size of the total moment is 0.00 μB per atom.

three:
An optimized crystal structure of ThCd2Pb. Source: Alexandria, functional PBE-GGA.

The space group is P4/mmm (No. 123) and the conventional cell measures 3.8512, 3.8512 and 7.3869 Å, with angles of 90.00, 90.00 and 90.00 degrees. The distinct sites, in fractional coordinates, are Th at (0.0000, 0.0000, 0.0000), Cd at (0.5000, 0.5000, 0.2646) and Pb at (0.0000, 0.0000, 0.5000).

The size of the total moment is 0.00 μB per atom.

four:
An optimized crystal structure of ThCd2Pb. Source: Alexandria, functional PBE-GGA.

The space group is P4/mmm (No. 123) and the conventional cell measures 4.6620, 4.6620 and 4.9660 Å, with angles of 90.00, 90.00 and 90.00 degrees. The distinct sites, in fractional coordinates, are Th at (0.0000, 0.0000, 0.0000), Cd at (0.0000, 0.5000, 0.5000) and Pb at (0.5000, 0.5000, 0.0000).

The size of the total moment is 0.00 μB per atom.

Which of them is the most stable? Correct choice: four.

one:
An optimized crystal structure of TiCdPb3. Source: Alexandria, functional PBE-GGA.

The space group is Pm-3m (No. 221) and the conventional cell measures 5.5567, 5.5567 and 5.5567 Å, with angles of 90.00, 90.00 and 90.00 degrees. The distinct sites, in fractional coordinates, are Ti at (0.0000, 0.0000, 0.0000), Cd at (0.5000, 0.5000, 0.5000) and Pb at (0.0000, 0.5000, 0.5000).

The size of the total moment is 0.00 μB per atom.

two:
An optimized crystal structure of TiCdPb3. Source: Alexandria, functional PBE-GGA.

The space group is Pm-3m (No. 221) and the conventional cell measures 5.4548, 5.4548 and 5.4548 Å, with angles of 90.00, 90.00 and 90.00 degrees. The distinct sites, in fractional coordinates, are Ti at (0.0000, 0.0000, 0.0000), Cd at (0.5000, 0.5000, 0.5000) and Pb at (0.0000, 0.0000, 0.5000).

The size of the total moment is 0.00 μB per atom.

Which of them is the most stable? Correct choice: two.